Record 1
CoNiIrPd | GGA-PBE | relaxed

```
CoNiIrPd
1.0
4.2209 0.0000 0.0000
2.1104 3.6554 0.0000
2.1104 1.2185 3.4463
Ni Ir Co Pd
1 1 1 1
direct
0.2500 0.2500 0.2500
0.5000 0.5000 0.5000
0.7500 0.7500 0.7500
0.0000 0.0000 0.0000
```

Computed properties:
- calculated density (g/cm³) = 13.0
- uncorrected energy (eV/cell) = -26.23
- DOS at the Fermi energy (states/eV/cell) = 4.42



Record 2
Rb3LaCe2Te6 | GGA-PBE | relaxed

```
Rb3LaCe2Te6
1.0
8.1757 -0.0015 0.0005
-4.0872 7.0808 0.0005
-1.3630 -2.3600 8.5103
Rb La Ce Te
3 1 2 6
direct
0.1659 0.8341 0.5000
0.8341 0.1659 0.5000
0.5000 0.5000 0.5000
0.0000 0.0000 0.0000
0.3333 0.6667 0.0000
0.6667 0.3333 0.0000
0.9317 0.5963 0.7954
0.7327 0.7327 0.2045
0.0683 0.4037 0.2046
0.5963 0.9317 0.7954
0.2673 0.2673 0.7955
0.4037 0.0683 0.2046
```

Computed properties:
- calculated density (g/cm³) = 4.9
- energy relative to the elements, uncorrected (eV per atom) = -1.389
- DOS at the Fermi energy (states/eV/cell) = 12.11



Record 3
InAuS2 | GGA-PBE | relaxed

```
InAuS2
1.0
1.3997 -10.2410 0.0000
1.3997 10.2410 0.0000
0.0000 0.0000 5.9413
S Au In
4 2 2
direct
0.2019 0.7981 0.2500
0.7981 0.2019 0.7500
0.9273 0.0727 0.2500
0.0727 0.9273 0.7500
0.3192 0.6808 0.2500
0.6808 0.3192 0.7500
0.0685 0.9315 0.2500
0.9315 0.0685 0.7500
```

Computed properties:
- calculated density (g/cm³) = 7.3
- energy relative to the elements, uncorrected (eV per atom) = 0.213
- DOS at the Fermi energy (states/eV/cell) = 5.51



Record 4
HfV2Si2 | GGA-PBE | relaxed

```
HfV2Si2
1.0
-1.5212 5.1858 -4.0221
-5.7533 -3.0401 -1.7437
-1.5254 1.4693 2.4714
Si Hf V
4 2 4
direct
0.3746 0.8746 0.0000
0.8746 0.6254 0.0000
0.6254 0.1254 0.0000
0.1254 0.3746 0.0000
0.0000 0.0000 0.0000
0.5000 0.5000 0.0000
0.1689 0.6689 0.5000
0.6689 0.8311 0.5000
0.8311 0.3311 0.5000
0.3311 0.1689 0.5000
```

Computed properties:
- calculated density (g/cm³) = 7.6
- energy relative to the elements, uncorrected (eV per atom) = -0.550
- DOS at the Fermi energy (states/eV/cell) = 3.35
- distance to the lowest polymorph of the same formula (meV per atom) = 0



Record 5
FeRe3H | GGA-PBE | relaxed

```
FeRe3H
1.0
4.4050 0.0000 0.0000
0.0000 4.4050 0.0000
0.0000 0.0000 4.4050
Re Fe H
3 1 1
direct
0.0000 0.5000 0.0000
0.0000 0.0000 0.5000
0.5000 0.0000 0.0000
0.0000 0.0000 0.0000
0.5000 0.5000 0.5000
```

Computed properties:
- calculated density (g/cm³) = 12.0
- DOS at the Fermi energy (states/eV/cell) = 7.01
- distance to the lowest polymorph of the same formula (meV per atom) = 2143



Record 6
AlTl | GGA-PBE | relaxed

```
AlTl
1.0
5.8748 0.0000 0.0000
0.0000 5.8748 0.0000
0.0000 0.0000 5.8862
Al Tl
4 4
direct
0.8119 0.1881 0.0000
0.3119 0.3119 0.5000
0.6881 0.6881 0.5000
0.1881 0.8119 0.0000
0.6996 0.6996 0.0000
0.1996 0.8004 0.5000
0.8004 0.1996 0.5000
0.3004 0.3004 0.0000
```

Computed properties:
- calculated density (g/cm³) = 7.6
- uncorrected energy (eV/cell) = -21.51
- DOS at the Fermi energy (states/eV/cell) = 1.66



Record 7
LaTlOs2 | GGA-PBE | relaxed

```
LaTlOs2
1.0
0.0000 3.4295 3.4295
3.4295 0.0000 3.4295
3.4295 3.4295 0.0000
Tl Os La
1 2 1
direct
0.5000 0.5000 0.5000
0.2500 0.2500 0.2500
0.7500 0.7500 0.7500
0.0000 0.0000 0.0000
```

Computed properties:
- calculated density (g/cm³) = 14.9
- DOS at the Fermi energy (states/eV/cell) = 5.45
- distance to the lowest polymorph of the same formula (meV per atom) = 489



Record 8
HgOs2Ru | GGA-PBE | relaxed

```
HgOs2Ru
1.0
2.7635 0.0000 0.0000
0.0000 3.8843 0.0000
0.0000 0.0000 5.9428
Hg Os Ru
1 2 1
direct
0.5000 0.5000 0.7500
0.0000 0.0000 0.0366
0.0000 0.0000 0.4634
0.5000 0.5000 0.2500
```

Computed properties:
- calculated density (g/cm³) = 17.8
- uncorrected energy (eV/cell) = -29.36
- DOS at the Fermi energy (states/eV/cell) = 4.50